Entry 1:
FeSi3C | PBE-GGA | relaxed

energy above the most stable polymorph in this dataset	7.81	kcal/mol of atoms
electronic total energy	-5.5135	eV per atom
crystal system	cubic
raw formation energy	1.278	eV/atom

Geometry as CIF:
```
data_FeSi3C
_chemical_formula_sum 'Fe1 Si3 C1'
_cell_length_a 4.2690
_cell_length_b 4.2690
_cell_length_c 4.2690
_cell_angle_alpha 90.00
_cell_angle_beta 90.00
_cell_angle_gamma 90.00
_space_group_name_H-M_alt 'P m -3 m'
_space_group_IT_number 221
_space_group_name_Hall '-P 4 2 3'
loop_
_atom_site_label
_atom_site_fract_x
_atom_site_fract_y
_atom_site_fract_z
Fe1 0.0000 0.0000 0.0000
Si1 0.0000 0.0000 0.5000
C1 0.5000 0.5000 0.5000
```

=====

Entry 2:
FeSiC | PBE-GGA | relaxed

energy above the most stable polymorph in this dataset	1.76	kcal/mol of atoms
electronic total energy	-7.3983	eV per atom
crystal system	triclinic
raw formation energy	0.305	eV/atom

Geometry as CIF:
```
data_FeSiC
_chemical_formula_sum 'Fe1 Si1 C1'
_cell_length_a 2.7012
_cell_length_b 2.7925
_cell_length_c 4.2599
_cell_angle_alpha 85.13
_cell_angle_beta 81.88
_cell_angle_gamma 71.82
_space_group_name_H-M_alt 'P 1'
_space_group_IT_number 1
_space_group_name_Hall 'P 1'
loop_
_atom_site_label
_atom_site_fract_x
_atom_site_fract_y
_atom_site_fract_z
Fe1 0.0000 0.0000 0.0000
Si1 0.4308 0.9040 0.4523
C1 0.4088 0.3852 0.7658
```

=====

Entry 3:
FeSiC | PBE-GGA | relaxed

energy above the most stable polymorph in this dataset	3.00	kcal/mol of atoms
electronic total energy	-7.3446	eV per atom
crystal system	tetragonal
raw formation energy	0.359	eV/atom

Geometry as CIF:
```
data_FeSiC
_chemical_formula_sum 'Fe1 Si1 C1'
_cell_length_a 2.5831
_cell_length_b 2.5831
_cell_length_c 4.3572
_cell_angle_alpha 90.00
_cell_angle_beta 90.00
_cell_angle_gamma 90.00
_space_group_name_H-M_alt 'P 4 m m'
_space_group_IT_number 99
_space_group_name_Hall 'P 4 -2'
loop_
_atom_site_label
_atom_site_fract_x
_atom_site_fract_y
_atom_site_fract_z
Fe1 0.0000 0.0000 0.0000
Si1 0.5000 0.5000 0.6387
C1 0.5000 0.5000 0.2162
```

=====

Entry 4:
FeSiC3 | PBE-GGA | relaxed

energy above the most stable polymorph in this dataset	0.00	kcal/mol of atoms
electronic total energy	-7.7523	eV per atom
crystal system	trigonal
raw formation energy	0.559	eV/atom

Geometry as CIF:
```
data_FeSiC3
_chemical_formula_sum 'Fe3 Si3 C9'
_cell_length_a 3.1575
_cell_length_b 3.1575
_cell_length_c 16.6527
_cell_angle_alpha 90.00
_cell_angle_beta 90.00
_cell_angle_gamma 120.00
_space_group_name_H-M_alt 'R 3 m'
_space_group_IT_number 160
_space_group_name_Hall 'R 3 -2"'
loop_
_atom_site_label
_atom_site_fract_x
_atom_site_fract_y
_atom_site_fract_z
Fe1 0.0000 0.0000 0.0000
Si1 0.0000 0.0000 0.8635
C1 0.0000 0.0000 0.3137
C2 0.0000 0.0000 0.3995
C3 0.0000 0.0000 0.4865
```

=====

Entry 5:
FeSiC | PBE-GGA | relaxed

energy above the most stable polymorph in this dataset	1.82	kcal/mol of atoms
electronic total energy	-7.3956	eV per atom
crystal system	trigonal
raw formation energy	0.308	eV/atom

Geometry as CIF:
```
data_FeSiC
_chemical_formula_sum 'Fe1 Si1 C1'
_cell_length_a 2.7550
_cell_length_b 2.7550
_cell_length_c 4.2600
_cell_angle_alpha 90.00
_cell_angle_beta 90.00
_cell_angle_gamma 120.00
_space_group_name_H-M_alt 'P 3 m 1'
_space_group_IT_number 156
_space_group_name_Hall 'P 3 -2"'
loop_
_atom_site_label
_atom_site_fract_x
_atom_site_fract_y
_atom_site_fract_z
Fe1 0.0000 0.0000 0.0000
Si1 0.3333 0.6667 0.5578
C1 0.6667 0.3333 0.2782
```

=====

Entry 6:
FeSiC | PBE-GGA | relaxed

energy above the most stable polymorph in this dataset	2.42	kcal/mol of atoms
electronic total energy	-7.3696	eV per atom
crystal system	trigonal
raw formation energy	0.334	eV/atom

Geometry as CIF:
```
data_FeSiC
_chemical_formula_sum 'Fe3 Si3 C3'
_cell_length_a 2.8001
_cell_length_b 2.8001
_cell_length_c 13.8177
_cell_angle_alpha 90.00
_cell_angle_beta 90.00
_cell_angle_gamma 120.00
_space_group_name_H-M_alt 'R 3 m'
_space_group_IT_number 160
_space_group_name_Hall 'R 3 -2"'
loop_
_atom_site_label
_atom_site_fract_x
_atom_site_fract_y
_atom_site_fract_z
Fe1 0.0000 0.0000 0.0000
Si1 0.0000 0.0000 0.5435
C1 0.0000 0.0000 0.4118
```

=====

Entry 7:
Sm2Fe15Si2C | PBE-GGA | relaxed

electronic total energy	-7.9012	eV per atom
crystal system	monoclinic
raw formation energy	-0.079	eV/atom

Geometry as CIF:
```
data_Sm2Fe15Si2C
_chemical_formula_sum 'Sm4 Fe30 Si4 C2'
_cell_length_a 9.7174
_cell_length_b 8.4877
_cell_length_c 6.4613
_cell_angle_alpha 90.00
_cell_angle_beta 99.74
_cell_angle_gamma 90.00
_space_group_name_H-M_alt 'C 1 2/m 1'
_space_group_IT_number 12
_space_group_name_Hall '-C 2y'
loop_
_atom_site_label
_atom_site_fract_x
_atom_site_fract_y
_atom_site_fract_z
Sm1 0.1578 0.0000 0.3560
Fe1 0.0000 0.2183 0.0000
Fe2 0.0000 0.5000 0.5000
Fe3 0.0925 0.2555 0.6596
Fe4 0.1468 0.3548 0.2908
Fe5 0.1558 0.0000 0.8534
Fe6 0.2500 0.2500 0.0000
Si1 0.1022 0.5000 0.9001
C1 0.0000 0.0000 0.0000
```

=====

Entry 8:
Sm2Fe2Si2C | PBE-GGA | relaxed

electronic total energy	-7.2752	eV per atom
crystal system	monoclinic
raw formation energy	-0.642	eV/atom

Geometry as CIF:
```
data_Sm2Fe2Si2C
_chemical_formula_sum 'Sm4 Fe4 Si4 C2'
_cell_length_a 10.7251
_cell_length_b 3.9803
_cell_length_c 6.8907
_cell_angle_alpha 90.00
_cell_angle_beta 129.31
_cell_angle_gamma 90.00
_space_group_name_H-M_alt 'C 1 2/m 1'
_space_group_IT_number 12
_space_group_name_Hall '-C 2y'
loop_
_atom_site_label
_atom_site_fract_x
_atom_site_fract_y
_atom_site_fract_z
Sm1 0.0589 0.0000 0.2963
Fe1 0.1981 0.5000 0.0909
Si1 0.1697 0.5000 0.7293
C1 0.0000 0.5000 0.0000
```

=====

Entry 9:
Sm2FeSiC | PBE-GGA | relaxed

electronic total energy	-6.8924	eV per atom
crystal system	monoclinic
raw formation energy	-0.383	eV/atom

Geometry as CIF:
```
data_Sm2FeSiC
_chemical_formula_sum 'Sm4 Fe2 Si2 C2'
_cell_length_a 6.1653
_cell_length_b 3.9846
_cell_length_c 8.4513
_cell_angle_alpha 90.00
_cell_angle_beta 109.56
_cell_angle_gamma 90.00
_space_group_name_H-M_alt 'P 1 21/m 1'
_space_group_IT_number 11
_space_group_name_Hall '-P 2yb'
loop_
_atom_site_label
_atom_site_fract_x
_atom_site_fract_y
_atom_site_fract_z
Sm1 0.2144 0.2500 0.3907
Sm2 0.2306 0.2500 0.9694
Fe1 0.4962 0.7500 0.2541
Si1 0.3202 0.7500 0.7010
C1 0.1979 0.7500 0.1755
```

=====

Entry 10:
TbFe2Si2C | PBE-GGA | relaxed

electronic total energy	-7.3582	eV per atom
crystal system	tetragonal
raw formation energy	-0.421	eV/atom

Geometry as CIF:
```
data_TbFe2Si2C
_chemical_formula_sum 'Tb1 Fe2 Si2 C1'
_cell_length_a 3.8866
_cell_length_b 3.8866
_cell_length_c 5.1730
_cell_angle_alpha 90.00
_cell_angle_beta 90.00
_cell_angle_gamma 90.00
_space_group_name_H-M_alt 'P 4/m m m'
_space_group_IT_number 123
_space_group_name_Hall '-P 4 2'
loop_
_atom_site_label
_atom_site_fract_x
_atom_site_fract_y
_atom_site_fract_z
Tb1 0.0000 0.0000 0.0000
Fe1 0.0000 0.5000 0.5000
Si1 0.5000 0.5000 0.2301
C1 0.0000 0.0000 0.5000
```

=====

Entry 11:
TbFeSiC | PBE-GGA | relaxed

electronic total energy	-7.3315	eV per atom
crystal system	tetragonal
raw formation energy	-0.397	eV/atom

Geometry as CIF:
```
data_TbFeSiC
_chemical_formula_sum 'Tb2 Fe2 Si2 C2'
_cell_length_a 3.6587
_cell_length_b 3.6587
_cell_length_c 8.8349
_cell_angle_alpha 90.00
_cell_angle_beta 90.00
_cell_angle_gamma 90.00
_space_group_name_H-M_alt 'P 4/n m m'
_space_group_IT_number 129
loop_
_space_group_symop_operation_xyz
'x,y,z'
'-x,-y,-z'
'-y+1/2,x,z'
'y+1/2,-x,-z'
'-x+1/2,-y+1/2,z'
'x+1/2,y+1/2,-z'
'y,-x+1/2,z'
'-y,x+1/2,-z'
'x+1/2,-y,-z'
'-x+1/2,y,z'
'-y,-x,-z'
'y,x,z'
'-x,y+1/2,-z'
'x,-y+1/2,z'
'y+1/2,x+1/2,-z'
'-y+1/2,-x+1/2,z'
loop_
_atom_site_label
_atom_site_fract_x
_atom_site_fract_y
_atom_site_fract_z
Tb1 0.2500 0.2500 0.1435
Fe1 0.2500 0.7500 0.5000
Si1 0.2500 0.2500 0.6656
C1 0.2500 0.2500 0.8702
```

=====

Entry 12:
Tb2FeSiC | PBE-GGA | relaxed

electronic total energy	-6.8730	eV per atom
crystal system	tetragonal
raw formation energy	-0.399	eV/atom

Geometry as CIF:
```
data_Tb2FeSiC
_chemical_formula_sum 'Tb4 Fe2 Si2 C2'
_cell_length_a 3.7094
_cell_length_b 3.7094
_cell_length_c 12.9075
_cell_angle_alpha 90.00
_cell_angle_beta 90.00
_cell_angle_gamma 90.00
_space_group_name_H-M_alt 'P 4/n m m'
_space_group_IT_number 129
loop_
_space_group_symop_operation_xyz
'x,y,z'
'-x,-y,-z'
'-y+1/2,x,z'
'y+1/2,-x,-z'
'-x+1/2,-y+1/2,z'
'x+1/2,y+1/2,-z'
'y,-x+1/2,z'
'-y,x+1/2,-z'
'x+1/2,-y,-z'
'-x+1/2,y,z'
'-y,-x,-z'
'y,x,z'
'-x,y+1/2,-z'
'x,-y+1/2,z'
'y+1/2,x+1/2,-z'
'-y+1/2,-x+1/2,z'
loop_
_atom_site_label
_atom_site_fract_x
_atom_site_fract_y
_atom_site_fract_z
Tb1 0.2500 0.2500 0.0922
Tb2 0.2500 0.2500 0.7090
Fe1 0.2500 0.7500 0.5000
Si1 0.2500 0.2500 0.3886
C1 0.2500 0.2500 0.8954
```

=====

Entry 13:
Fe2SiTcC | PBE-GGA | relaxed

electronic total energy	-8.4009	eV per atom
crystal system	tetragonal
raw formation energy	-0.013	eV/atom

Geometry as CIF:
```
data_Fe2SiTcC
_chemical_formula_sum 'Fe2 Si1 Tc1 C1'
_cell_length_a 3.7104
_cell_length_b 3.7104
_cell_length_c 4.0446
_cell_angle_alpha 90.00
_cell_angle_beta 90.00
_cell_angle_gamma 90.00
_space_group_name_H-M_alt 'P 4/m m m'
_space_group_IT_number 123
_space_group_name_Hall '-P 4 2'
loop_
_atom_site_label
_atom_site_fract_x
_atom_site_fract_y
_atom_site_fract_z
Fe1 0.0000 0.5000 0.0000
Si1 0.0000 0.0000 0.5000
Tc1 0.5000 0.5000 0.5000
C1 0.5000 0.5000 0.0000
```

=====

Entry 14:
ThFe2Si2C | PBE-GGA | relaxed

electronic total energy	-7.8289	eV per atom
crystal system	tetragonal
raw formation energy	-0.426	eV/atom

Geometry as CIF:
```
data_ThFe2Si2C
_chemical_formula_sum 'Th1 Fe2 Si2 C1'
_cell_length_a 3.9765
_cell_length_b 3.9765
_cell_length_c 5.2326
_cell_angle_alpha 90.00
_cell_angle_beta 90.00
_cell_angle_gamma 90.00
_space_group_name_H-M_alt 'P 4/m m m'
_space_group_IT_number 123
_space_group_name_Hall '-P 4 2'
loop_
_atom_site_label
_atom_site_fract_x
_atom_site_fract_y
_atom_site_fract_z
Th1 0.0000 0.0000 0.0000
Fe1 0.0000 0.5000 0.5000
Si1 0.5000 0.5000 0.2359
C1 0.0000 0.0000 0.5000
```

=====

Entry 15:
ThFeSiC | PBE-GGA | relaxed

electronic total energy	-8.1350	eV per atom
crystal system	tetragonal
raw formation energy	-0.503	eV/atom

Geometry as CIF:
```
data_ThFeSiC
_chemical_formula_sum 'Th2 Fe2 Si2 C2'
_cell_length_a 3.8235
_cell_length_b 3.8235
_cell_length_c 8.5276
_cell_angle_alpha 90.00
_cell_angle_beta 90.00
_cell_angle_gamma 90.00
_space_group_name_H-M_alt 'P 4/n m m'
_space_group_IT_number 129
loop_
_space_group_symop_operation_xyz
'x,y,z'
'-x,-y,-z'
'-y+1/2,x,z'
'y+1/2,-x,-z'
'-x+1/2,-y+1/2,z'
'x+1/2,y+1/2,-z'
'y,-x+1/2,z'
'-y,x+1/2,-z'
'x+1/2,-y,-z'
'-x+1/2,y,z'
'-y,-x,-z'
'y,x,z'
'-x,y+1/2,-z'
'x,-y+1/2,z'
'y+1/2,x+1/2,-z'
'-y+1/2,-x+1/2,z'
loop_
_atom_site_label
_atom_site_fract_x
_atom_site_fract_y
_atom_site_fract_z
Th1 0.2500 0.2500 0.1611
Fe1 0.2500 0.7500 0.5000
Si1 0.2500 0.2500 0.6517
C1 0.2500 0.2500 0.8715
```

=====

Entry 16:
TiFe2SiC | PBE-GGA | relaxed

electronic total energy	-8.2328	eV per atom
crystal system	orthorhombic
raw formation energy	-0.339	eV/atom

Geometry as CIF:
```
data_TiFe2SiC
_chemical_formula_sum 'Ti4 Fe8 Si4 C4'
_cell_length_a 3.4226
_cell_length_b 10.3327
_cell_length_c 6.5338
_cell_angle_alpha 90.00
_cell_angle_beta 90.00
_cell_angle_gamma 90.00
_space_group_name_H-M_alt 'C m c m'
_space_group_IT_number 63
_space_group_name_Hall '-C 2c 2'
loop_
_atom_site_label
_atom_site_fract_x
_atom_site_fract_y
_atom_site_fract_z
Ti1 0.0000 0.0419 0.2500
Fe1 0.0000 0.3365 0.0568
Si1 0.0000 0.2372 0.7500
C1 0.0000 0.5000 0.0000
```

=====

Entry 17:
Tm2FeSiC | PBE-GGA | relaxed

electronic total energy	-6.8641	eV per atom
crystal system	tetragonal
raw formation energy	-0.454	eV/atom

Geometry as CIF:
```
data_Tm2FeSiC
_chemical_formula_sum 'Tm4 Fe2 Si2 C2'
_cell_length_a 3.6484
_cell_length_b 3.6484
_cell_length_c 12.6258
_cell_angle_alpha 90.00
_cell_angle_beta 90.00
_cell_angle_gamma 90.00
_space_group_name_H-M_alt 'P 4/n m m'
_space_group_IT_number 129
loop_
_space_group_symop_operation_xyz
'x,y,z'
'-x,-y,-z'
'-y+1/2,x,z'
'y+1/2,-x,-z'
'-x+1/2,-y+1/2,z'
'x+1/2,y+1/2,-z'
'y,-x+1/2,z'
'-y,x+1/2,-z'
'x+1/2,-y,-z'
'-x+1/2,y,z'
'-y,-x,-z'
'y,x,z'
'-x,y+1/2,-z'
'x,-y+1/2,z'
'y+1/2,x+1/2,-z'
'-y+1/2,-x+1/2,z'
loop_
_atom_site_label
_atom_site_fract_x
_atom_site_fract_y
_atom_site_fract_z
Tm1 0.2500 0.2500 0.0917
Tm2 0.2500 0.2500 0.7115
Fe1 0.2500 0.7500 0.5000
Si1 0.2500 0.2500 0.3833
C1 0.2500 0.2500 0.8964
```

=====

Entry 18:
U6Fe16Si7C | PBE-GGA | relaxed

electronic total energy	-8.7449	eV per atom
crystal system	cubic
raw formation energy	-0.401	eV/atom

Geometry as CIF:
```
data_U6Fe16Si7C
_chemical_formula_sum 'U24 Fe64 Si28 C4'
_cell_length_a 11.6230
_cell_length_b 11.6230
_cell_length_c 11.6230
_cell_angle_alpha 90.00
_cell_angle_beta 90.00
_cell_angle_gamma 90.00
_space_group_name_H-M_alt 'F m -3 m'
_space_group_IT_number 225
_space_group_name_Hall '-F 4 2 3'
loop_
_atom_site_label
_atom_site_fract_x
_atom_site_fract_y
_atom_site_fract_z
U1 0.0000 0.0000 0.2143
Fe1 0.1225 0.1225 0.3775
Fe2 0.1750 0.1750 0.1750
Si1 0.0000 0.0000 0.5000
Si2 0.0000 0.2500 0.2500
C1 0.0000 0.0000 0.0000
```

=====

Entry 19:
U2FeSiC | PBE-GGA | relaxed

electronic total energy	-9.4281	eV per atom
crystal system	monoclinic
raw formation energy	-0.291	eV/atom

Geometry as CIF:
```
data_U2FeSiC
_chemical_formula_sum 'U4 Fe2 Si2 C2'
_cell_length_a 5.9754
_cell_length_b 3.6746
_cell_length_c 6.9494
_cell_angle_alpha 90.00
_cell_angle_beta 90.51
_cell_angle_gamma 90.00
_space_group_name_H-M_alt 'P 1 21/m 1'
_space_group_IT_number 11
_space_group_name_Hall '-P 2yb'
loop_
_atom_site_label
_atom_site_fract_x
_atom_site_fract_y
_atom_site_fract_z
U1 0.0857 0.2500 0.1081
U2 0.2425 0.2500 0.5830
Fe1 0.4428 0.7500 0.2645
Si1 0.4000 0.7500 0.9056
C1 0.1355 0.7500 0.3696
```

=====

Entry 20:
UFe2SiC | PBE-GGA | relaxed

electronic total energy	-8.9494	eV per atom
crystal system	orthorhombic
raw formation energy	-0.377	eV/atom

Geometry as CIF:
```
data_UFe2SiC
_chemical_formula_sum 'U4 Fe8 Si4 C4'
_cell_length_a 3.7011
_cell_length_b 10.7218
_cell_length_c 6.5317
_cell_angle_alpha 90.00
_cell_angle_beta 90.00
_cell_angle_gamma 90.00
_space_group_name_H-M_alt 'C m c m'
_space_group_IT_number 63
_space_group_name_Hall '-C 2c 2'
loop_
_atom_site_label
_atom_site_fract_x
_atom_site_fract_y
_atom_site_fract_z
U1 0.0000 0.0605 0.2500
Fe1 0.0000 0.3361 0.0528
Si1 0.0000 0.2206 0.7500
C1 0.0000 0.5000 0.0000
```